This record from the Alexandria database describes a geometry-optimized Er4Tl2Pt structure. The functional is GGA-PBE.

Results
Space-group type ... No. 55
Calculated volume ... 204.5 Å³/f.u.
M_tot ... 0.00 μB/cell

Lattice parameters (Å, degrees): 8.5920 12.4976 3.8087 90.00 90.00 90.00
Closest atoms and distances in Å follow each position.
Element x y z (fractional)
Er  0.1414  0.1985  0.0000  1 Pt 2.76
Er  0.2131  0.9385  0.5000  2 Pt 2.75
Er  0.2869  0.4385  0.5000  2 Pt 2.75
Er  0.3586  0.6985  0.0000  1 Pt 2.76
Er  0.6414  0.3015  0.0000  1 Pt 2.76
Er  0.7131  0.5615  0.5000  2 Pt 2.75
Er  0.7869  0.0615  0.5000  2 Pt 2.75
Er  0.8586  0.8015  0.0000  1 Pt 2.76
Tl  0.0644  0.6508  0.5000  6 Er 3.21-3.27
Tl  0.4356  0.1508  0.5000  6 Er 3.21-3.27
Tl  0.5644  0.8492  0.5000  6 Er 3.21-3.27
Tl  0.9356  0.3492  0.5000  6 Er 3.21-3.27
Pt  0.0000  0.0000  0.0000  6 Er 2.75-2.76
Pt  0.5000  0.5000  0.0000  6 Er 2.75-2.76

=====

This record from the Alexandria database describes a geometry-optimized Er6Tl3Pt structure. The functional is GGA-PBE.

Results
Space-group type ... No. 58
Calculated volume ... 271.2 Å³/f.u.
M_tot ... 0.00 μB/cell

Lattice parameters (Å, degrees): 8.9565 11.7503 5.1542 90.00 90.00 90.00
Closest atoms and distances in Å follow each position.
Element x y z (fractional)
Er  0.0128  0.2377  0.0000  1 Pt 2.80, 4 Tl 2.99-3.08
Er  0.1567  0.0825  0.5000  2 Pt 3.09, 1 Tl 3.22, 3 Er 3.41
Er  0.1873  0.4119  0.5000  1 Pt 2.99, 2 Tl 3.24
Er  0.3127  0.9119  0.0000  1 Pt 2.99, 2 Tl 3.24
Er  0.3433  0.5825  0.0000  2 Pt 3.09, 1 Tl 3.22, 3 Er 3.41
Er  0.4872  0.7377  0.5000  1 Pt 2.80, 4 Tl 2.99-3.08
Er  0.5128  0.2623  0.5000  1 Pt 2.80, 4 Tl 2.99-3.08
Er  0.6567  0.4175  0.0000  2 Pt 3.09, 1 Tl 3.22, 3 Er 3.41
Er  0.6873  0.0881  0.0000  1 Pt 2.99, 2 Tl 3.24
Er  0.8127  0.5881  0.5000  1 Pt 2.99, 2 Tl 3.24
Er  0.8433  0.9175  0.5000  2 Pt 3.09, 1 Tl 3.22, 3 Er 3.41
Er  0.9872  0.7623  0.0000  1 Pt 2.80, 4 Tl 2.99-3.08
Tl  0.0000  0.5000  0.0000  8 Er 3.08-3.24
Tl  0.1539  0.7330  0.5000  3 Er 2.99-3.00
Tl  0.3461  0.2330  0.0000  3 Er 2.99-3.00
Tl  0.5000  0.0000  0.5000  8 Er 3.08-3.24
Tl  0.6539  0.7670  0.0000  3 Er 2.99-3.00
Tl  0.8461  0.2670  0.5000  3 Er 2.99-3.00
Pt  0.0000  0.0000  0.0000  8 Er 2.80-3.09
Pt  0.5000  0.5000  0.5000  8 Er 2.80-3.09

=====

| no. | energy of formation (eV/f.u.) |
| --- | --- |
| 1 | -3.2 |
| 2 | -4.5 |